The following is a DFT calculation (SCAN) of a crystal of K2AsAu relaxed with PBEsol.

Values from the calculation:
Total energy: -108.3 eV per cell
Size of the total moment: 0.0 μB per cell
ΔE_f: -2.3 eV/f.u.

Cell lengths 4.5694, 5.7065, 5.8635 Å; angles 119.08, 112.93, 90.00 degrees
Closest atoms and distances in Å follow each position.
Element x y z (fractional)
As: 0.5776 0.5779 0.1552  2 Au 2.43
Au: 0.1687 0.6684 0.3375  2 As 2.43
K: 0.9691 0.9690 0.9382  4 K 3.32-3.69, 4 Au 3.39-3.58, 1 As 3.59
K: 0.7845 0.2847 0.5690  4 K 3.32-3.69, 4 As 3.43-3.53, 1 Au 3.52